The following is a DFT calculation (PBE) of a relaxed AcBi3Pb crystal.

a b c (Å): 4.8734 6.8769 11.1661
angles (deg): 90.00 102.55 90.00
Element x y z (fractional)
Ac 0.1869 0.2500 0.3730
Ac 0.8131 0.7500 0.6270
Bi 0.0000 0.0000 0.0000
Bi 0.0000 0.5000 0.0000
Bi 0.2036 0.7500 0.4076
Bi 0.4292 0.7500 0.8602
Bi 0.5708 0.2500 0.1398
Bi 0.7964 0.2500 0.5924
Pb 0.3953 0.2500 0.7890
Pb 0.6047 0.7500 0.2110

Fermi-level density of states (states/eV per cell): 5.1
Formation energy (kcal/mol of atoms): -7.1
Energy above the most stable polymorph in this dataset (eV per atom): 0.089